[1]
Material: AcLa4Tb2Tm
Method: DFT, GGA-PBE
State: relaxed

Cell lengths 5.250, 6.372, 9.806 Å; angles 89.13, 74.47, 65.67 degrees
Fractional coordinates of all 8 atoms:
La: 0.878 0.876 0.368
La: 0.626 0.625 0.122
La: 0.374 0.375 0.878
La: 0.122 0.124 0.632
Tm: 0.000 0.000 0.000
Tb: 0.743 0.758 0.757
Tb: 0.257 0.242 0.243
Ac: 0.500 0.500 0.500

Computed properties:
* SG: C2/m (12)

=====

[2]
Material: AcLaTb4Tm2
Method: DFT, GGA-PBE
State: relaxed

Cell lengths 7.239, 12.540, 12.541 Å; angles 146.45, 106.79, 90.03 degrees
Fractional coordinates of all 16 atoms:
Tm: 0.500 0.500 0.000
Tm: 0.000 0.000 0.500
Tm: 0.500 0.000 0.500
Tm: 0.500 0.000 0.000
Tb: 0.251 0.249 0.998
Tb: 0.748 0.752 0.496
Tb: 0.749 0.751 0.002
Tb: 0.252 0.248 0.504
Tb: 0.255 0.752 0.005
Tb: 0.745 0.248 0.995
Tb: 0.252 0.755 0.502
Tb: 0.748 0.245 0.498
Ac: 0.000 0.500 0.500
Ac: 0.000 0.500 0.000
La: 0.500 0.500 0.500
La: 0.000 0.000 0.000

Computed properties:
* SG: C2/m (12)

=====

[3]
Material: AcLa5TbTm2
Method: DFT, GGA-PBE
State: relaxed

Cell lengths 5.618, 12.617, 9.603 Å; angles 90.00, 90.00, 102.86 degrees
Fractional coordinates of all 18 atoms:
La: 0.009 0.019 0.543
La: 0.475 0.950 0.757
La: 0.608 0.216 0.531
La: 0.312 0.624 0.724
La: 0.392 0.784 0.031
La: 0.741 0.481 0.853
La: 0.259 0.519 0.353
La: 0.525 0.050 0.257
La: 0.688 0.376 0.224
La: 0.991 0.981 0.043
Tm: 0.175 0.350 0.671
Tm: 0.112 0.223 0.290
Tm: 0.825 0.650 0.171
Tm: 0.888 0.777 0.790
Ac: 0.603 0.207 0.924
Ac: 0.397 0.793 0.424
Tb: 0.230 0.460 0.031
Tb: 0.770 0.540 0.531

Computed properties:
* SG: Cmc2_1 (36)

=====

Number 1: energy relative to the elements 0.04 eV per atom, electronic total energy -37.3 eV per cell, magnetic moment 0.0 μB/cell. Number 2: energy relative to the elements 0.04 eV per atom, electronic total energy -72.4 eV per cell, magnetic moment 0.0 μB/cell. Number 3: energy relative to the elements 0.15 eV per atom, electronic total energy -82.0 eV per cell, magnetic moment 0.0 μB/cell.